LaCe2Mg: relaxed, PBE.

Output
For the energy relative to the lowest polymorph listed for this composition, the calculation gives 107 meV per atom. The final energy is -17.6 eV for the cell shown. The calculation puts the calculated formation energy at 0.207 eV/atom.

Cell: 5.5376 5.5376 5.5376 Å, 60.00 60.00 60.00°
Closest atoms and distances in Å follow each position.
Atoms (fractional coordinates):
La1 0.0000 0.0000 0.0000  8 Ce 3.39
Ce1 0.2500 0.2500 0.2500  4 La 3.39, 4 Mg 3.39
Ce2 0.7500 0.7500 0.7500  4 La 3.39, 4 Mg 3.39
Mg1 0.5000 0.5000 0.5000  8 Ce 3.39

La2CeMg: relaxed, PBE.

Output
For the energy relative to the lowest polymorph listed for this composition, the calculation gives 68 meV per atom. The final energy is -17.2 eV for the cell shown. The calculation puts the calculated formation energy at 0.054 eV/atom.

Cell: 5.1058 5.1058 4.8786 Å, 90.00 90.00 90.00°
Closest atoms and distances in Å follow each position.
Atoms (fractional coordinates):
La1 0.0000 0.5000 0.0000  4 Ce 3.53, 4 Mg 3.53, 4 La 3.61
La2 0.5000 0.0000 0.0000  4 Ce 3.53, 4 Mg 3.53, 4 La 3.61
Ce1 0.0000 0.0000 0.5000  8 La 3.53, 4 Mg 3.61
Mg1 0.5000 0.5000 0.5000  8 La 3.53, 4 Ce 3.61

LaCe2Mg: relaxed, PBE.

Output
For the energy relative to the lowest polymorph listed for this composition, the calculation gives 35 meV per atom. The final energy is -17.9 eV for the cell shown. The calculation puts the calculated formation energy at 0.135 eV/atom.

Cell: 11.9341 11.9341 11.9341 Å, 16.23 16.23 16.23°
Closest atoms and distances in Å follow each position.
Atoms (fractional coordinates):
La1 0.0000 0.0000 0.0000  6 La 3.37, 6 Ce 3.61-3.62
Ce1 0.2471 0.2471 0.2471  6 Ce 3.37, 3 Mg 3.43, 3 La 3.61
Ce2 0.4198 0.4198 0.4198  6 Ce 3.37, 3 Mg 3.44, 3 La 3.62
Mg1 0.8336 0.8336 0.8336  6 Mg 3.37, 6 Ce 3.43-3.44

LaCeMg6: relaxed, PBE.

Output
The final energy is -20.0 eV for the cell shown. The calculation puts the calculated formation energy at 0.053 eV/atom.

Cell: 5.3257 6.9110 6.9110 Å, 56.78 90.00 90.00°
Closest atoms and distances in Å follow each position.
Atoms (fractional coordinates):
La1 0.0000 0.0000 0.0000  2 Ce 3.31, 10 Mg 3.37-3.55
Ce1 0.0000 0.4650 0.4650  10 Mg 3.30-3.63, 2 La 3.31
Mg1 0.0000 0.5047 0.9668  7 Mg 3.04-3.30, 1 Ce 3.30, 1 La 3.37
Mg2 0.0000 0.9668 0.5047  7 Mg 3.04-3.30, 1 Ce 3.30, 1 La 3.37
Mg3 0.5000 0.1291 0.6472  7 Mg 3.11-3.46, 2 Ce 3.30, 2 La 3.38
Mg4 0.5000 0.1743 0.1743  8 Mg 3.11-3.32, 2 La 3.40
Mg5 0.5000 0.6356 0.6356  10 Mg 3.30-3.46, 2 Ce 3.38
Mg6 0.5000 0.6472 0.1291  7 Mg 3.11-3.46, 2 Ce 3.30, 2 La 3.38